Entry i
The following is a DFT calculation (PBE-GGA) of an optimized crystal structure of LiCoCl2. Values from VASP.

crystal system: trigonal
total magnetic moment: 2.000 μB/f.u.

Structure (Quantum ESPRESSO input):
```
&SYSTEM
  ibrav = 0, nat = 4, ntyp = 3
/
ATOMIC_SPECIES
Li 6.94 Li.upf
Co 58.93 Co.upf
Cl 35.45 Cl.upf
ATOMIC_POSITIONS crystal
Li 0.000 0.000 0.000
Co 0.500 0.500 0.500
Cl 0.246 0.246 0.246
Cl 0.754 0.754 0.754
CELL_PARAMETERS angstrom
1.834 1.059 5.634
-1.834 1.059 5.634
0.000 -2.118 5.634
```

=====

Entry ii
The following is a DFT calculation (PBE-GGA) of an optimized crystal structure of LiCoCl2. Values from VASP.

crystal system: orthorhombic
total magnetic moment: 1.997 μB/f.u.

Structure (Quantum ESPRESSO input):
```
&SYSTEM
  ibrav = 0, nat = 4, ntyp = 3
/
ATOMIC_SPECIES
Li 6.94 Li.upf
Co 58.93 Co.upf
Cl 35.45 Cl.upf
ATOMIC_POSITIONS crystal
Li 0.000 0.000 0.000
Co 0.000 0.500 0.500
Cl 0.500 0.000 0.500
Cl 0.500 0.500 0.000
CELL_PARAMETERS angstrom
3.372 0.000 0.000
0.000 3.388 0.000
0.000 0.000 7.920
```

=====

Least stable = entry ii

=====

Entry i
The following is a DFT calculation (PBE-GGA) of an optimized crystal structure of LiCoCl2. Values from VASP.

crystal system: monoclinic
total magnetic moment: 2.000 μB/f.u.

Structure (Quantum ESPRESSO input):
```
&SYSTEM
  ibrav = 0, nat = 4, ntyp = 3
/
ATOMIC_SPECIES
Li 6.94 Li.upf
Co 58.93 Co.upf
Cl 35.45 Cl.upf
ATOMIC_POSITIONS crystal
Li 0.000 0.000 0.000
Co 0.355 0.355 0.490
Cl 0.531 0.531 0.502
Cl 0.814 0.814 0.993
CELL_PARAMETERS angstrom
6.766 -1.710 0.000
6.766 1.710 0.000
-0.039 0.000 3.429
```

=====

Entry ii
The following is a DFT calculation (PBE-GGA) of an optimized crystal structure of LiCoCl2. Values from VASP.

crystal system: tetragonal
total magnetic moment: 2.005 μB/f.u.

Structure (Quantum ESPRESSO input):
```
&SYSTEM
  ibrav = 0, nat = 4, ntyp = 3
/
ATOMIC_SPECIES
Li 6.94 Li.upf
Co 58.93 Co.upf
Cl 35.45 Cl.upf
ATOMIC_POSITIONS crystal
Li 0.000 0.000 0.000
Co 0.500 0.500 0.000
Cl 0.000 0.500 0.500
Cl 0.500 0.000 0.500
CELL_PARAMETERS angstrom
4.516 0.000 0.000
0.000 4.516 0.000
0.000 0.000 3.105
```

=====

Least stable = entry ii

=====

Entry i
The following is a DFT calculation (PBE-GGA) of an optimized crystal structure of LiCoCl2. Values from VASP.

crystal system: orthorhombic
total magnetic moment: 2.000 μB/f.u.

Structure (Quantum ESPRESSO input):
```
&SYSTEM
  ibrav = 0, nat = 4, ntyp = 3
/
ATOMIC_SPECIES
Li 6.94 Li.upf
Co 58.93 Co.upf
Cl 35.45 Cl.upf
ATOMIC_POSITIONS crystal
Li 0.000 0.000 0.000
Co 0.500 0.000 0.500
Cl 0.264 0.500 0.764
Cl 0.736 0.500 0.236
CELL_PARAMETERS angstrom
-1.741 3.357 3.581
1.741 -3.357 3.581
1.741 3.357 -3.581
```

=====

Entry ii
The following is a DFT calculation (PBE-GGA) of an optimized crystal structure of LiCoCl2. Values from VASP.

crystal system: tetragonal
total magnetic moment: 2.001 μB/f.u.

Structure (Quantum ESPRESSO input):
```
&SYSTEM
  ibrav = 0, nat = 4, ntyp = 3
/
ATOMIC_SPECIES
Li 6.94 Li.upf
Co 58.93 Co.upf
Cl 35.45 Cl.upf
ATOMIC_POSITIONS crystal
Li 0.000 0.000 0.000
Co 0.500 0.500 0.499
Cl 0.000 0.000 0.501
Cl 0.500 0.500 0.001
CELL_PARAMETERS angstrom
3.595 0.000 0.000
0.000 3.595 0.000
0.000 0.000 5.077
```

=====

Least stable = entry i

=====

Entry i
The following is a DFT calculation (PBE-GGA) of an optimized crystal structure of LiCoCl2. Values from VASP.

crystal system: trigonal
total magnetic moment: 2.000 μB/f.u.

Structure (Quantum ESPRESSO input):
```
&SYSTEM
  ibrav = 0, nat = 4, ntyp = 3
/
ATOMIC_SPECIES
Li 6.94 Li.upf
Co 58.93 Co.upf
Cl 35.45 Cl.upf
ATOMIC_POSITIONS crystal
Li 0.000 0.000 0.000
Co 0.500 0.500 0.500
Cl 0.399 0.399 0.399
Cl 0.601 0.601 0.601
CELL_PARAMETERS angstrom
1.819 1.050 7.135
-1.819 1.050 7.135
0.000 -2.100 7.135
```

=====

Entry ii
The following is a DFT calculation (PBE-GGA) of an optimized crystal structure of LiCoCl2. Values from VASP.

crystal system: cubic
total magnetic moment: 2.075 μB/f.u.

Structure (Quantum ESPRESSO input):
```
&SYSTEM
  ibrav = 0, nat = 4, ntyp = 3
/
ATOMIC_SPECIES
Li 6.94 Li.upf
Co 58.93 Co.upf
Cl 35.45 Cl.upf
ATOMIC_POSITIONS crystal
Li 0.000 0.000 0.000
Co 0.250 0.250 0.250
Cl 0.500 0.500 0.500
Cl 0.750 0.750 0.750
CELL_PARAMETERS angstrom
0.000 3.341 3.341
3.341 0.000 3.341
3.341 3.341 0.000
```

=====

Entry iii
The following is a DFT calculation (PBE-GGA) of an optimized crystal structure of LiCoCl2. Values from VASP.

crystal system: monoclinic
total magnetic moment: 2.000 μB/f.u.

Structure (Quantum ESPRESSO input):
```
&SYSTEM
  ibrav = 0, nat = 4, ntyp = 3
/
ATOMIC_SPECIES
Li 6.94 Li.upf
Co 58.93 Co.upf
Cl 35.45 Cl.upf
ATOMIC_POSITIONS crystal
Li 0.000 0.000 0.000
Co 0.000 0.000 0.500
Cl 0.163 0.500 0.759
Cl 0.837 0.500 0.241
CELL_PARAMETERS angstrom
3.679 0.000 0.000
0.000 3.399 0.000
-1.546 0.000 6.322
```

=====

Least stable = entry ii